(1)
Compound: RbScTeN2
Source: Alexandria via LeMat-Bulk
Functional: GGA-PBEsol
Structure: relaxed

Properties
- crystal system = tetragonal
- magnetic moment (μB per cell) = 3.71
- theoretical density (Mg/m³) = 4.12
- space group = P4/mmm, No. 123
- formation energy from raw total energies (eV per atom) = 0.389

POSCAR file:
```
RbScTeN2
1.0
4.5438 0.0000 0.0000
0.0000 4.5438 0.0000
0.0000 0.0000 5.5876
Rb Sc Te N
1 1 1 2
Direct
0.0000 0.0000 0.0000
0.5000 0.5000 0.5000
0.5000 0.5000 0.0000
0.0000 0.5000 0.5000
0.5000 0.0000 0.5000
```

(2)
Compound: RbScTe2N
Source: Alexandria via LeMat-Bulk
Functional: GGA-PBEsol
Structure: relaxed

Properties
- crystal system = tetragonal
- magnetic moment (μB per cell) = 0.41
- theoretical density (Mg/m³) = 4.70
- space group = P4/mmm, No. 123
- formation energy from raw total energies (eV per atom) = -0.283

POSCAR file:
```
RbScTe2N
1.0
5.9826 0.0000 0.0000
0.0000 5.9826 0.0000
0.0000 0.0000 3.9458
Rb Sc Te N
1 1 2 1
Direct
0.0000 0.0000 0.0000
0.5000 0.5000 0.5000
0.0000 0.5000 0.5000
0.5000 0.0000 0.5000
0.5000 0.5000 0.0000
```